Record 1
{
  "formula": "BeAu2",
  "functional": "PBEsol",
  "state": "relaxed",
  "dft_energy_ev_per_atom": -4.104,
  "delta_e_f_ev_per_atom": -0.154,
  "sg": "I4/mcm (140)",
  "lattice": [[4.786, -0.016, 0.000], [-1.878, 4.402, 0.000], [-1.454, -2.193, 3.997]],
  "species": ["Au", "Au", "Au", "Au", "Be", "Be"],
  "fractional_positions": [[0.674, 0.826, 0.500], [0.326, 0.174, 0.500], [0.826, 0.326, 0.153], [0.174, 0.674, 0.847], [0.750, 0.750, 0.000], [0.250, 0.250, 0.000]]
}

Record 2
{
  "formula": "BeAu2",
  "functional": "PBEsol",
  "state": "relaxed",
  "dft_energy_ev_per_atom": -4.029,
  "delta_e_f_ev_per_atom": -0.080,
  "sg": "Cm (8)",
  "lattice": [[-2.548, -1.072, -0.496], [2.805, -3.903, 1.979], [-1.797, 1.642, 5.682]],
  "species": ["Au", "Au", "Au", "Au", "Be", "Be"],
  "fractional_positions": [[0.341, 0.682, 0.602], [0.676, 0.353, 0.271], [0.605, 0.209, 0.763], [0.939, 0.877, 0.092], [0.015, 0.029, 0.465], [0.258, 0.516, 0.975]]
}

Record 3
{
  "formula": "BeAu2",
  "functional": "PBEsol",
  "state": "relaxed",
  "dft_energy_ev_per_atom": -4.070,
  "delta_e_f_ev_per_atom": -0.120,
  "sg": "C2/m (12)",
  "lattice": [[2.935, 0.000, 0.000], [1.468, 4.495, 0.075], [1.468, 1.309, 6.510]],
  "species": ["Be", "Be", "Au", "Au", "Au", "Au"],
  "fractional_positions": [[0.673, 0.260, 0.393], [0.327, 0.740, 0.607], [0.326, 0.245, 0.104], [0.975, 0.732, 0.317], [0.025, 0.268, 0.683], [0.674, 0.755, 0.896]]
}

no.,energy relative to the lowest polymorph listed for this composition (kJ/mol of formula units)
1,7
2,29
3,17